Entry 1:
VASP calculation (PBE) on crystalline TlReSn2 at its relaxed geometry.

Structure (POSCAR):
```
TlReSn2
1.0
0.0000 3.5639 3.5639
3.5639 0.0000 3.5639
3.5639 3.5639 0.0000
Sn Re Tl
2 1 1
Cartesian
1.7819 1.7819 1.7819
5.3458 5.3458 5.3458
0.0000 0.0000 0.0000
3.5639 3.5639 3.5639
```

Results
The spin magnetization is 1.73 Bohr magnetons per cell. For the volume, the calculation gives 90.5 Å³/cell. The symmetry is Fm-3m (225). The offset from the most stable computed form comes out at 0.0 kJ/mol of atoms.

---

Entry 2:
VASP calculation (PBE) on crystalline YTlReSn2 at its relaxed geometry.

Structure (POSCAR):
```
YTlReSn2
1.0
5.4622 0.0000 0.0000
0.0000 5.7321 0.0000
0.0000 0.0000 5.4622
Sn Re Tl Y
2 1 1 1
Cartesian
2.7311 0.0000 0.0000
0.0000 0.0000 2.7311
2.7311 2.8661 2.7311
0.0000 0.0000 0.0000
0.0000 2.8661 0.0000
```

Results
The spin magnetization is 3.39 Bohr magnetons per cell. For the volume, the calculation gives 171.0 Å³/cell. The symmetry is P4/mmm (123).

---

So what do the calculations give for ΔH_f (0 K)? Going down the list: 3.41; 8.13 eV per formula unit.